w) This record from the Open Quantum Materials Database describes crystalline GdC2 at its relaxed geometry. The functional is PBE-GGA.

abc: 4.026 4.026 4.026
angles: 60.00 60.00 60.00
Positions (direct):
Gd: 0.000 0.000 0.000
C: 0.250 0.250 0.250
C: 0.750 0.750 0.750

***

x) This record from the Open Quantum Materials Database describes crystalline GdC2 at its relaxed geometry. The functional is PBE-GGA.

abc: 7.484 7.484 7.484
angles: 60.00 60.00 60.00
Positions (direct):
Gd: 0.125 0.125 0.125
Gd: 0.875 0.875 0.875
C: 0.000 0.000 0.000
C: 0.000 0.000 0.500
C: 0.000 0.500 0.000
C: 0.500 0.000 0.000

***

Going by the energies, w) is most stable and the next is 1374 meV per atom up.

***

w) This record from the Open Quantum Materials Database describes crystalline GdHfPbC at its relaxed geometry. The functional is PBE-GGA.

abc: 3.484 3.484 15.644
angles: 90.00 90.00 120.00
Positions (direct):
Gd: 0.333 0.667 0.000
Gd: 0.667 0.333 0.500
Hf: 0.333 0.667 0.665
Hf: 0.667 0.333 0.165
Pb: 0.333 0.667 0.325
Pb: 0.667 0.333 0.825
C: 0.000 0.000 0.097
C: 0.000 0.000 0.597

***

x) This record from the Open Quantum Materials Database describes crystalline GdHfPbC at its relaxed geometry. The functional is PBE-GGA.

abc: 3.496 3.496 15.647
angles: 90.00 90.00 120.00
Positions (direct):
Gd: 0.333 0.667 0.412
Gd: 0.667 0.333 0.588
Hf: 0.333 0.667 0.075
Hf: 0.667 0.333 0.925
Pb: 0.333 0.667 0.767
Pb: 0.667 0.333 0.233
C: 0.000 0.000 0.000
C: 0.000 0.000 0.500

***

y) This record from the Open Quantum Materials Database describes crystalline GdHfPbC at its relaxed geometry. The functional is PBE-GGA.

abc: 3.488 3.488 15.634
angles: 90.00 90.00 120.00
Positions (direct):
Gd: 0.000 0.000 0.176
Gd: 0.000 0.000 0.824
Hf: 0.667 0.333 0.341
Hf: 0.667 0.333 0.659
Pb: 0.000 0.000 0.500
Pb: 0.667 0.333 0.000
C: 0.333 0.667 0.273
C: 0.333 0.667 0.727

***

Going by the energies, w) is most stable and the next is 11 meV per atom up.

***

w) This record from the Open Quantum Materials Database describes crystalline GdHfCS at its relaxed geometry. The functional is PBE-GGA.

abc: 3.538 3.538 12.685
angles: 90.00 90.00 120.00
Positions (direct):
Gd: 0.333 0.667 0.110
Gd: 0.667 0.333 0.890
Hf: 0.333 0.667 0.407
Hf: 0.667 0.333 0.593
C: 0.000 0.000 0.000
C: 0.000 0.000 0.500
S: 0.333 0.667 0.728
S: 0.667 0.333 0.272

***

x) This record from the Open Quantum Materials Database describes crystalline GdHfCS at its relaxed geometry. The functional is PBE-GGA.

abc: 3.531 3.531 12.660
angles: 90.00 90.00 120.00
Positions (direct):
Gd: 0.000 0.000 0.153
Gd: 0.000 0.000 0.847
Hf: 0.667 0.333 0.359
Hf: 0.667 0.333 0.641
C: 0.333 0.667 0.275
C: 0.333 0.667 0.725
S: 0.000 0.000 0.500
S: 0.667 0.333 0.000

***

Going by the energies, x) is most stable and the next is 28 meV per atom up.